1.
Material: SbHW3
Method: DFT, GGA-PBEsol
State: optimized geometry

The structure in extended XYZ format:
```
5
Lattice="4.8692 0.0000 0.0000 0.0000 4.8692 0.0000 0.0000 0.0000 4.8692" Properties=species:S:1:pos:R:3 pbc="T T T"
Sb 0.0000 0.0000 0.0000
W 0.0000 2.4346 0.0000
W 0.0000 0.0000 2.4346
W 2.4346 0.0000 0.0000
H 2.4346 2.4346 2.4346
```

calculated total energy = -31.6 eV for the cell shown
SG = No. 221
density of states at the Fermi level = 7.7 states/eV per cell

2.
Material: Y2SbH
Method: DFT, GGA-PBEsol
State: optimized geometry

The structure in extended XYZ format:
```
4
Lattice="4.9864 0.0000 0.0000 2.4932 4.3184 0.0000 2.4932 1.4395 4.0714" Properties=species:S:1:pos:R:3 pbc="T T T"
Y 2.4932 1.4395 1.0178
Y 7.4796 4.3184 3.0535
Sb 4.9864 2.8789 2.0357
H 0.0000 0.0000 0.0000
```

calculated total energy = -23.2 eV for the cell shown
SG = No. 225
density of states at the Fermi level = 4.2 states/eV per cell

3.
Material: Zn2SbH
Method: DFT, GGA-PBEsol
State: optimized geometry

The structure in extended XYZ format:
```
8
Lattice="4.7014 0.0000 0.0000 0.0000 4.7014 0.0000 -2.3507 -2.3507 5.8872" Properties=species:S:1:pos:R:3 pbc="T T T"
Sb 0.0000 2.3507 2.9436
Sb 0.0000 0.0000 0.0000
Zn 1.8926 3.5261 1.4718
Zn 2.8088 1.1754 1.4718
Zn -1.1754 -0.4581 4.4154
Zn 1.1754 0.4581 4.4154
H 2.3507 0.0000 2.9436
H 2.3507 2.3507 0.0000
```

calculated total energy = -20.6 eV for the cell shown
SG = No. 122
density of states at the Fermi level = 1.9 states/eV per cell

4.
Material: ZrSb2H
Method: DFT, GGA-PBEsol
State: optimized geometry

The structure in extended XYZ format:
```
4
Lattice="-1.1424 -4.5624 -1.2227 2.9725 -3.6533 1.1975 -1.3165 -3.1783 3.4324" Properties=species:S:1:pos:R:3 pbc="T T T"
Sb 0.1284 -2.8485 0.8518
Sb 0.3852 -8.5455 2.5554
Zr 0.2568 -5.6970 1.7036
H 0.0000 0.0000 0.0000
```

calculated total energy = -20.2 eV for the cell shown
SG = No. 225
density of states at the Fermi level = 3.6 states/eV per cell